ZnCdCu2: relaxed, PBE-GGA.

## Properties
ΔE_f: 70 meV per atom
Total magnetic moment: 0.00 μB/f.u.
VASP energy: -2.526 eV per atom

Structure (CIF):
```
data_ZnCdCu2
_chemical_formula_sum 'Zn4 Cd4 Cu8'
_cell_length_a 6.195
_cell_length_b 6.195
_cell_length_c 6.195
_cell_angle_alpha 90.00
_cell_angle_beta 90.00
_cell_angle_gamma 90.00
_space_group_name_H-M_alt 'F -4 3 m'
_space_group_IT_number 216
_space_group_name_Hall 'F -4 2 3'
loop_
_atom_site_label
_atom_site_type_symbol
_atom_site_fract_x
_atom_site_fract_y
_atom_site_fract_z
Zn1 Zn 0.000 0.000 0.000
Cd1 Cd 0.250 0.250 0.250
Cu1 Cu 0.000 0.000 0.500
Cu2 Cu 0.250 0.250 0.750
```



LiTcBiN2: relaxed, PBE-GGA.

## Properties
Total magnetic moment: 0.00 μB/f.u.
VASP energy: -6.103 eV per atom

Structure (CIF):
```
data_LiTcBiN2
_chemical_formula_sum 'Li1 Tc1 Bi1 N2'
_cell_length_a 3.859
_cell_length_b 3.859
_cell_length_c 5.804
_cell_angle_alpha 90.00
_cell_angle_beta 90.00
_cell_angle_gamma 90.00
_space_group_name_H-M_alt 'P 4/m m m'
_space_group_IT_number 123
_space_group_name_Hall '-P 4 2'
loop_
_atom_site_label
_atom_site_type_symbol
_atom_site_fract_x
_atom_site_fract_y
_atom_site_fract_z
Li1 Li 0.000 0.000 0.000
Tc1 Tc 0.500 0.500 0.500
Bi1 Bi 0.500 0.500 0.000
N1 N 0.000 0.500 0.500
```



TaMnAlBi2: relaxed, PBE-GGA.

## Properties
ΔE_f: 945 meV per atom
Total magnetic moment: 3.87 μB/f.u.
VASP energy: -5.561 eV per atom

Structure (CIF):
```
data_TaMnAlBi2
_chemical_formula_sum 'Ta1 Mn1 Al1 Bi2'
_cell_length_a 5.482
_cell_length_b 5.482
_cell_length_c 5.081
_cell_angle_alpha 90.00
_cell_angle_beta 90.00
_cell_angle_gamma 90.00
_space_group_name_H-M_alt 'P 4/m m m'
_space_group_IT_number 123
_space_group_name_Hall '-P 4 2'
loop_
_atom_site_label
_atom_site_type_symbol
_atom_site_fract_x
_atom_site_fract_y
_atom_site_fract_z
Ta1 Ta 0.000 0.000 0.000
Mn1 Mn 0.000 0.000 0.500
Al1 Al 0.500 0.500 0.500
Bi1 Bi 0.000 0.500 0.000
```



Tc8H4W: relaxed, PBE-GGA.

## Properties
Total magnetic moment: 0.00 μB/f.u.
VASP energy: -8.425 eV per atom

Structure (CIF):
```
data_Tc8H4W
_chemical_formula_sum 'Tc16 H8 W2'
_cell_length_a 13.564
_cell_length_b 2.832
_cell_length_c 9.383
_cell_angle_alpha 90.00
_cell_angle_beta 128.90
_cell_angle_gamma 90.00
_space_group_name_H-M_alt 'C 1 2/m 1'
_space_group_IT_number 12
loop_
_space_group_symop_operation_xyz
'x,y,z'
'-x,-y,-z'
'-x,y,-z'
'x,-y,z'
'x+1/2,y+1/2,z'
'-x+1/2,-y+1/2,-z'
'-x+1/2,y+1/2,-z'
'x+1/2,-y+1/2,z'
loop_
_atom_site_label
_atom_site_type_symbol
_atom_site_fract_x
_atom_site_fract_y
_atom_site_fract_z
Tc1 Tc 0.037 0.000 0.242
Tc2 Tc 0.126 0.500 0.094
Tc3 Tc 0.168 0.500 0.833
Tc4 Tc 0.202 0.500 0.575
H1 H 0.144 0.000 0.964
H2 H 0.168 0.500 0.335
W1 W 0.000 0.000 0.500
```



PtBrCl4: relaxed, PBE-GGA.

## Properties
Distance to the lowest polymorph of the same formula: 0.0 meV per atom
Total magnetic moment: 1.05 μB/f.u.
VASP energy: -2.698 eV per atom

Structure (CIF):
```
data_PtBrCl4
_chemical_formula_sum 'Pt2 Br2 Cl8'
_cell_length_a 5.763
_cell_length_b 5.676
_cell_length_c 13.620
_cell_angle_alpha 90.00
_cell_angle_beta 113.93
_cell_angle_gamma 90.00
_space_group_name_H-M_alt 'P 1 21/c 1'
_space_group_IT_number 14
loop_
_space_group_symop_operation_xyz
'x,y,z'
'-x,-y,-z'
'-x,y+1/2,-z+1/2'
'x,-y+1/2,z+1/2'
loop_
_atom_site_label
_atom_site_type_symbol
_atom_site_fract_x
_atom_site_fract_y
_atom_site_fract_z
Pt1 Pt 0.000 0.000 0.000
Br1 Br 0.500 0.000 0.500
Cl1 Cl 0.156 0.233 0.901
Cl2 Cl 0.319 0.096 0.157
```



BaSnP2: relaxed, PBE-GGA.

## Properties
ΔE_f: -574 meV per atom
Total magnetic moment: 0.00 μB/f.u.
VASP energy: -4.760 eV per atom

Structure (CIF):
```
data_BaSnP2
_chemical_formula_sum 'Ba16 Sn16 P32'
_cell_length_a 11.358
_cell_length_b 11.285
_cell_length_c 15.190
_cell_angle_alpha 90.00
_cell_angle_beta 100.57
_cell_angle_gamma 90.00
_space_group_name_H-M_alt 'C 1 2/c 1'
_space_group_IT_number 15
loop_
_space_group_symop_operation_xyz
'x,y,z'
'-x,-y,-z'
'-x,y,-z+1/2'
'x,-y,z+1/2'
'x+1/2,y+1/2,z'
'-x+1/2,-y+1/2,-z'
'-x+1/2,y+1/2,-z+1/2'
'x+1/2,-y+1/2,z+1/2'
loop_
_atom_site_label
_atom_site_type_symbol
_atom_site_fract_x
_atom_site_fract_y
_atom_site_fract_z
Ba1 Ba 0.016 0.170 0.392
Ba2 Ba 0.203 0.455 0.120
Sn1 Sn 0.102 0.187 0.655
Sn2 Sn 0.144 0.436 0.842
P1 P 0.000 0.052 0.750
P2 P 0.000 0.414 0.250
P3 P 0.023 0.337 0.946
P4 P 0.185 0.039 0.554
P5 P 0.235 0.195 0.247
```